No. 1
DFT (GGA-PBE) results for a geometry-optimized Pr2InPPt6 structure.

Calculated values
formation energy = -833 meV/atom
symmetry = Pmmn

abc: 5.633 8.543 8.689
angles: 90.00 90.00 90.00
Element x y z (fractional)
Pt1 0.743 0.447 0.500
Pt2 0.500 0.106 0.745
Pt3 0.757 0.553 0.000
Pt4 0.243 0.553 0.000
Pt5 0.248 0.987 0.500
Pt6 0.257 0.447 0.500
Pt7 0.000 0.894 0.245
Pt8 0.252 0.013 0.000
Pt9 0.000 0.894 0.755
Pt10 0.752 0.987 0.500
Pt11 0.748 0.013 0.000
Pt12 0.500 0.106 0.255
Pr1 0.000 0.268 0.244
Pr2 0.500 0.732 0.744
Pr3 0.000 0.268 0.756
Pr4 0.500 0.732 0.256
P1 0.000 0.775 0.000
P2 0.500 0.225 0.500
In1 0.500 0.295 0.000
In2 0.000 0.705 0.500

No. 2
DFT (GGA-PBE) results for a geometry-optimized Pr6InTe3P2 structure.

Calculated values
formation energy without anion corrections = -1327 meV/atom
symmetry = C2/m

abc: 4.341 9.041 9.962
angles: 104.28 102.58 90.00
Element x y z (fractional)
Pr1 0.332 0.890 0.663
Pr2 0.325 0.437 0.650
Pr3 0.668 0.110 0.337
Pr4 0.010 0.256 0.020
Pr5 0.990 0.744 0.980
Pr6 0.675 0.563 0.350
P1 0.169 0.337 0.339
P2 0.831 0.663 0.661
Te1 0.500 0.500 0.000
Te2 0.836 0.169 0.672
Te3 0.164 0.831 0.328
In1 0.500 0.000 0.000

No. 3
DFT (GGA-PBE) results for a geometry-optimized InP2Pt structure.

Calculated values
formation energy = 166 meV/atom
symmetry = C2/m

abc: 5.633 5.633 3.774
angles: 70.38 70.38 122.96
Element x y z (fractional)
Pt1 0.500 0.000 0.500
In1 0.000 0.500 0.500
P1 0.500 0.500 0.000
P2 0.000 0.000 0.000

No. 4
DFT (GGA-PBE) results for a geometry-optimized InPPt3 structure.

Calculated values
formation energy = 1386 meV/atom
symmetry = Pm-3m

abc: 4.918 4.918 4.918
angles: 90.00 90.00 90.00
Element x y z (fractional)
Pt1 0.000 0.500 0.000
Pt2 0.000 0.000 0.500
Pt3 0.500 0.000 0.000
P1 0.500 0.500 0.500
In1 0.000 0.000 0.000